The following is a GGA-PBE calculation of an optimized crystal structure of PuZn5Ga7, from the Alexandria database.

Results
total magnetization	0.419	μB per atom
density of states at the Fermi level	0.756	states/eV per atom
formation energy	-0.0819	eV per atom

abc: 5.5817 6.9689 6.9689
angles: 81.26 66.39 66.39
With the nearest neighbours (Å) after each atom.
Fractional positions:
Ga 0.5020 0.8030 0.1929  5 Zn 2.66-2.71, 1 Ga 2.68
Ga 0.2786 0.2214 0.2214  4 Ga 2.68-2.86, 4 Zn 2.70
Ga 0.9992 0.6513 0.3503  2 Ga 2.73-2.86, 5 Zn 2.78-2.83
Ga 0.9992 0.3503 0.6513  2 Ga 2.73-2.86, 5 Zn 2.78-2.83
Ga 0.3511 0.6489 0.6489  1 Ga 2.66, 4 Zn 2.80
Ga 0.6469 0.3531 0.3531  1 Ga 2.66, 4 Zn 2.84
Ga 0.5020 0.1929 0.8030  5 Zn 2.66-2.71, 1 Ga 2.68
Pu 0.9967 0.0033 0.0033  10 Ga 3.14-3.41, 10 Zn 3.46-3.49
Zn 0.9997 0.9973 0.5025  3 Zn 2.65-2.79, 7 Ga 2.67-2.84
Zn 0.5005 0.5025 0.9973  3 Zn 2.65-2.79, 7 Ga 2.67-2.84
Zn 0.7238 0.7762 0.7762  4 Zn 2.65, 4 Ga 2.66-2.83
Zn 0.5005 0.9973 0.5025  3 Zn 2.65-2.79, 7 Ga 2.67-2.84
Zn 0.9997 0.5025 0.9973  3 Zn 2.65-2.79, 7 Ga 2.67-2.84

***

The following is a GGA-PBE calculation of an optimized crystal structure of PuZnGa3, from the Alexandria database.

Results
total magnetization	1.104	μB per atom
density of states at the Fermi level	2.107	states/eV per atom
formation energy	-0.2575	eV per atom

abc: 5.6676 5.9016 5.6327
angles: 90.00 88.58 90.00
With the nearest neighbours (Å) after each atom.
Fractional positions:
Zn 0.4549 0.7500 0.8615  5 Ga 2.46-2.75
Zn 0.5451 0.2500 0.1385  5 Ga 2.46-2.75
Ga 0.1558 0.7500 0.5513  1 Zn 2.46, 2 Ga 2.66
Ga 0.1638 0.0006 0.1585  3 Ga 2.61-2.82, 2 Zn 2.61-2.75
Ga 0.1638 0.4994 0.1585  3 Ga 2.61-2.82, 2 Zn 2.61-2.75
Ga 0.8362 0.9994 0.8415  3 Ga 2.61-2.82, 2 Zn 2.61-2.75
Ga 0.8442 0.2500 0.4487  1 Zn 2.46, 2 Ga 2.66
Ga 0.8362 0.5006 0.8415  3 Ga 2.61-2.82, 2 Zn 2.61-2.75
Pu 0.3300 0.2500 0.6558  4 Zn 3.01-3.25, 10 Ga 3.02-3.32
Pu 0.6700 0.7500 0.3442  4 Zn 3.01-3.25, 10 Ga 3.02-3.32

***

The following is a GGA-PBE calculation of an optimized crystal structure of Pu2ZnGa2, from the Alexandria database.

Results
total magnetization	0.005	μB per atom
relative energy among the computed polymorphs	0.000	eV per atom
density of states at the Fermi level	1.982	states/eV per atom
formation energy	-0.2635	eV per atom

abc: 4.7006 5.5462 9.2961
angles: 99.99 75.36 64.93
With the nearest neighbours (Å) after each atom.
Fractional positions:
Ga 0.6591 0.8199 0.8619  2 Ga 2.56-2.82, 1 Zn 2.82
Ga 0.3409 0.1801 0.1381  2 Ga 2.56-2.82, 1 Zn 2.82
Ga 0.0333 0.3425 0.5908  2 Ga 2.61-2.82, 2 Zn 2.69
Ga 0.9667 0.6575 0.4092  2 Ga 2.61-2.82, 2 Zn 2.69
Pu 0.9193 0.2476 0.9139  1 Pu 2.69
Pu 0.0807 0.7524 0.0861  1 Pu 2.69
Pu 0.7224 0.2117 0.3434  1 Pu 2.69, 2 Ga 2.96
Pu 0.2776 0.7883 0.6566  1 Pu 2.69, 2 Ga 2.96
Zn 0.5560 0.1988 0.6892  3 Ga 2.69-2.82
Zn 0.4440 0.8012 0.3108  3 Ga 2.69-2.82

***

The following is a GGA-PBE calculation of an optimized crystal structure of Pu2Zn5Ga3, from the Alexandria database.

Results
total magnetization	1.110	μB per atom
relative energy among the computed polymorphs	0.023	eV per atom
density of states at the Fermi level	2.533	states/eV per atom
formation energy	-0.1974	eV per atom

abc: 4.2009 4.2009 10.6877
angles: 90.00 90.00 90.00
With the nearest neighbours (Å) after each atom.
Fractional positions:
Zn 0.0000 0.0000 0.0000  4 Zn 2.52
Zn 0.5000 0.5000 0.0000  4 Zn 2.52
Zn 0.5000 0.5000 0.5000  4 Ga 2.59
Zn 0.5000 0.0000 0.8690  1 Ga 2.43, 4 Zn 2.52
Zn 0.0000 0.5000 0.1310  1 Ga 2.43, 4 Zn 2.52
Ga 0.0000 0.5000 0.3583  3 Zn 2.43-2.59, 2 Ga 2.59
Ga 0.5000 0.0000 0.6417  3 Zn 2.43-2.59, 2 Ga 2.59
Ga 0.0000 0.0000 0.5000  4 Ga 2.59
Pu 0.5000 0.0000 0.2493  6 Ga 3.19-3.40, 10 Zn 3.23-3.40
Pu 0.0000 0.5000 0.7507  6 Ga 3.19-3.40, 10 Zn 3.23-3.40

***

The following is a GGA-PBE calculation of an optimized crystal structure of PuZn4Ga4, from the Alexandria database.

Results
total magnetization	0.616	μB per atom
density of states at the Fermi level	1.207	states/eV per atom
formation energy	-0.0477	eV per atom

abc: 4.1098 8.9297 8.9297
angles: 90.00 90.00 90.00
With the nearest neighbours (Å) after each atom.
Fractional positions:
Ga 0.4997 0.1622 0.5000  6 Zn 2.85-2.97, 5 Ga 2.90, 1 Pu 3.02
Ga 0.0003 0.3380 0.0000  6 Zn 2.85-2.97, 5 Ga 2.89-2.90, 1 Pu 3.02
Ga 0.5003 0.5000 0.8378  6 Zn 2.85-2.97, 5 Ga 2.90, 1 Pu 3.02
Ga 0.4997 0.8378 0.5000  6 Zn 2.85-2.97, 5 Ga 2.90, 1 Pu 3.02
Ga 0.0003 0.6620 0.0000  6 Zn 2.85-2.97, 5 Ga 2.89-2.90, 1 Pu 3.02
Ga 0.9997 0.0000 0.6620  6 Zn 2.85-2.97, 5 Ga 2.89-2.90, 1 Pu 3.02
Ga 0.9997 0.0000 0.3380  6 Zn 2.85-2.97, 5 Ga 2.89-2.90, 1 Pu 3.02
Ga 0.5003 0.5000 0.1622  6 Zn 2.85-2.97, 5 Ga 2.90, 1 Pu 3.02
Pu 0.5000 0.5000 0.5000  4 Ga 3.02, 8 Zn 3.08
Pu 0.0000 0.0000 0.0000  4 Ga 3.02, 8 Zn 3.08
Zn 0.0000 0.3184 0.6816  2 Zn 2.68, 6 Ga 2.85-2.97
Zn 0.0000 0.3184 0.3184  2 Zn 2.68, 6 Ga 2.85-2.97
Zn 0.5000 0.1818 0.1819  2 Zn 2.68, 6 Ga 2.85-2.97
Zn 0.5000 0.1819 0.8182  2 Zn 2.68, 6 Ga 2.85-2.97
Zn 0.0000 0.6816 0.3184  2 Zn 2.68, 6 Ga 2.85-2.97
Zn 0.5000 0.8182 0.8181  2 Zn 2.68, 6 Ga 2.85-2.97
Zn 0.0000 0.6816 0.6816  2 Zn 2.68, 6 Ga 2.85-2.97
Zn 0.5000 0.8181 0.1818  2 Zn 2.68, 6 Ga 2.85-2.97

***

The following is a GGA-PBE calculation of an optimized crystal structure of PuZn12Ga7, from the Alexandria database.

Results
total magnetization	0.263	μB per atom
density of states at the Fermi level	0.472	states/eV per atom
formation energy	0.0059	eV per atom

abc: 6.2901 8.2569 8.2569
angles: 113.78 104.71 104.71
With the nearest neighbours (Å) after each atom.
Fractional positions:
Zn 0.4019 0.0000 0.3409  3 Zn 2.60-2.63, 3 Ga 2.61-2.70
Zn 0.9390 0.3409 0.3409  3 Zn 2.60-2.63, 3 Ga 2.61-2.70
Zn 0.5981 0.6591 0.0000  3 Zn 2.60-2.63, 3 Ga 2.61-2.70
Zn 0.7334 0.4669 0.7334  4 Zn 2.63-2.64, 4 Ga 2.68-2.82
Zn 0.0000 0.2666 0.7334  4 Zn 2.63-2.64, 4 Ga 2.68-2.82
Zn 0.0000 0.7334 0.2666  4 Zn 2.63-2.64, 4 Ga 2.68-2.82
Zn 0.0610 0.6591 0.6591  3 Zn 2.60-2.63, 3 Ga 2.61-2.70
Zn 0.4019 0.3409 0.0000  3 Zn 2.60-2.63, 3 Ga 2.61-2.70
Zn 0.2666 0.2666 0.5331  4 Zn 2.63-2.64, 4 Ga 2.68-2.82
Zn 0.7334 0.7334 0.4669  4 Zn 2.63-2.64, 4 Ga 2.68-2.82
Zn 0.5981 0.0000 0.6591  3 Zn 2.60-2.63, 3 Ga 2.61-2.70
Zn 0.2666 0.5331 0.2666  4 Zn 2.63-2.64, 4 Ga 2.68-2.82
Ga 0.8142 0.3345 0.0000  7 Zn 2.61-2.82
Ga 0.5203 0.3345 0.3345  7 Zn 2.61-2.82
Ga 0.1858 0.6655 0.0000  7 Zn 2.61-2.82
Ga 0.4797 0.6655 0.6655  7 Zn 2.61-2.82
Ga 0.1858 0.0000 0.6655  7 Zn 2.61-2.82
Ga 0.5000 0.0000 0.0000  6 Ga 2.96, 6 Zn 3.03, 2 Pu 3.15
Ga 0.8142 0.0000 0.3345  7 Zn 2.61-2.82
Pu 0.0000 0.0000 0.0000  8 Ga 3.15-3.26, 6 Zn 3.27